TaAlTc2 after structural relaxation. Source: the Alexandria database, functional GGA-PBE.

Output
**DOS at the Fermi energy**: 3.16 states/eV/f.u.
**Calculated volume**: 15.47 A^3/atom
**Formation enthalpy at 0 K**: -189 meV/atom

The structure in CIF format:
```
data_TaAlTc2
_cell_length_a 5.6531
_cell_length_b 8.5982
_cell_length_c 2.7828
_cell_angle_alpha 90.00
_cell_angle_beta 113.83
_cell_angle_gamma 90.00
_symmetry_space_group_name_H-M 'C 1 2/m 1'
_symmetry_Int_Tables_number 12
_symmetry_space_group_name_Hall '-C 2y'
loop_
_atom_site_label
_atom_site_fract_x
_atom_site_fract_y
_atom_site_fract_z
Ta1 0.0000 0.0000 0.0000
Al1 0.0000 0.5000 0.0000
Tc1 0.2500 0.2500 0.5000
```

=====

TaAlTc after structural relaxation. Source: the Alexandria database, functional GGA-PBE.

Output
**DOS at the Fermi energy**: 3.66 states/eV/f.u.
**Calculated volume**: 15.90 A^3/atom
**Excess energy over the best structure of this formula in the dataset**: 0.0000 eV per atom
**Formation enthalpy at 0 K**: -346 meV/atom

The structure in CIF format:
```
data_TaAlTc
_cell_length_a 3.2457
_cell_length_b 3.2457
_cell_length_c 9.0578
_cell_angle_alpha 90.00
_cell_angle_beta 90.00
_cell_angle_gamma 90.00
_symmetry_space_group_name_H-M 'I 4 m m'
_symmetry_Int_Tables_number 107
_symmetry_space_group_name_Hall 'I 4 -2'
loop_
_atom_site_label
_atom_site_fract_x
_atom_site_fract_y
_atom_site_fract_z
Ta1 0.0000 0.0000 0.0000
Al1 0.0000 0.0000 0.3157
Tc1 0.0000 0.0000 0.6527
```

=====

TaAl3Tc after structural relaxation. Source: the Alexandria database, functional GGA-PBE.

Output
**DOS at the Fermi energy**: 5.78 states/eV/f.u.
**Calculated volume**: 19.08 A^3/atom
**Excess energy over the best structure of this formula in the dataset**: 0.0000 eV per atom
**Formation enthalpy at 0 K**: 734 meV/atom

The structure in CIF format:
```
data_TaAl3Tc
_cell_length_a 4.5694
_cell_length_b 4.5694
_cell_length_c 4.5694
_cell_angle_alpha 90.00
_cell_angle_beta 90.00
_cell_angle_gamma 90.00
_symmetry_space_group_name_H-M 'P m -3 m'
_symmetry_Int_Tables_number 221
_symmetry_space_group_name_Hall '-P 4 2 3'
loop_
_atom_site_label
_atom_site_fract_x
_atom_site_fract_y
_atom_site_fract_z
Ta1 0.0000 0.0000 0.0000
Al1 0.0000 0.5000 0.5000
Tc1 0.5000 0.5000 0.5000
```

=====

Ta2AlTc after structural relaxation. Source: the Alexandria database, functional GGA-PBE.

Output
**DOS at the Fermi energy**: 4.90 states/eV/f.u.
**Calculated volume**: 16.43 A^3/atom
**Formation enthalpy at 0 K**: -102 meV/atom

The structure in CIF format:
```
data_Ta2AlTc
_cell_length_a 6.4060
_cell_length_b 6.4060
_cell_length_c 6.4060
_cell_angle_alpha 90.00
_cell_angle_beta 90.00
_cell_angle_gamma 90.00
_symmetry_space_group_name_H-M 'F -4 3 m'
_symmetry_Int_Tables_number 216
_symmetry_space_group_name_Hall 'F -4 2 3'
loop_
_atom_site_label
_atom_site_fract_x
_atom_site_fract_y
_atom_site_fract_z
Ta1 0.0000 0.0000 0.0000
Ta2 0.2500 0.2500 0.2500
Al1 0.0000 0.0000 0.5000
Tc1 0.2500 0.2500 0.7500
```

=====

TaAlTc3 after structural relaxation. Source: the Alexandria database, functional GGA-PBE.

Output
**DOS at the Fermi energy**: 10.82 states/eV/f.u.
**Calculated volume**: 17.05 A^3/atom
**Excess energy over the best structure of this formula in the dataset**: 0.0000 eV per atom
**Formation enthalpy at 0 K**: 1041 meV/atom

The structure in CIF format:
```
data_TaAlTc3
_cell_length_a 4.4011
_cell_length_b 4.4011
_cell_length_c 4.4011
_cell_angle_alpha 90.00
_cell_angle_beta 90.00
_cell_angle_gamma 90.00
_symmetry_space_group_name_H-M 'P m -3 m'
_symmetry_Int_Tables_number 221
_symmetry_space_group_name_Hall '-P 4 2 3'
loop_
_atom_site_label
_atom_site_fract_x
_atom_site_fract_y
_atom_site_fract_z
Ta1 0.0000 0.0000 0.0000
Al1 0.5000 0.5000 0.5000
Tc1 0.0000 0.5000 0.5000
```

=====

TaAlTc after structural relaxation. Source: the Alexandria database, functional GGA-PBE.

Output
**DOS at the Fermi energy**: 1.98 states/eV/f.u.
**Calculated volume**: 15.89 A^3/atom
**Excess energy over the best structure of this formula in the dataset**: 0.0735 eV per atom
**Formation enthalpy at 0 K**: -272 meV/atom

The structure in CIF format:
```
data_TaAlTc
_cell_length_a 4.4337
_cell_length_b 4.4337
_cell_length_c 2.8005
_cell_angle_alpha 90.00
_cell_angle_beta 90.00
_cell_angle_gamma 120.00
_symmetry_space_group_name_H-M 'P 3 m 1'
_symmetry_Int_Tables_number 156
_symmetry_space_group_name_Hall 'P 3 -2"'
loop_
_atom_site_label
_atom_site_fract_x
_atom_site_fract_y
_atom_site_fract_z
Ta1 0.0000 0.0000 0.0000
Al1 0.6667 0.3333 0.5731
Tc1 0.3333 0.6667 0.2763
```

=====

Ta4AlTc5 after structural relaxation. Source: the Alexandria database, functional GGA-PBE.

Output
**DOS at the Fermi energy**: 7.73 states/eV/f.u.
**Calculated volume**: 15.85 A^3/atom
**Formation enthalpy at 0 K**: -462 meV/atom

The structure in CIF format:
```
data_Ta4AlTc5
_cell_length_a 3.1838
_cell_length_b 3.1838
_cell_length_c 15.6402
_cell_angle_alpha 90.00
_cell_angle_beta 90.00
_cell_angle_gamma 90.00
_symmetry_space_group_name_H-M 'P 4/m m m'
_symmetry_Int_Tables_number 123
_symmetry_space_group_name_Hall '-P 4 2'
loop_
_atom_site_label
_atom_site_fract_x
_atom_site_fract_y
_atom_site_fract_z
Ta1 0.0000 0.0000 0.1028
Ta2 0.0000 0.0000 0.3086
Al1 0.0000 0.0000 0.5000
Tc1 0.5000 0.5000 0.0000
Tc2 0.5000 0.5000 0.2026
Tc3 0.5000 0.5000 0.4041
```

=====

Ta3AlTc4 after structural relaxation. Source: the Alexandria database, functional GGA-PBE.

Output
**DOS at the Fermi energy**: 7.06 states/eV/f.u.
**Calculated volume**: 15.76 A^3/atom
**Formation enthalpy at 0 K**: -451 meV/atom

The structure in CIF format:
```
data_Ta3AlTc4
_cell_length_a 3.1818
_cell_length_b 4.4538
_cell_length_c 8.8943
_cell_angle_alpha 90.00
_cell_angle_beta 90.00
_cell_angle_gamma 90.00
_symmetry_space_group_name_H-M 'P m m m'
_symmetry_Int_Tables_number 47
_symmetry_space_group_name_Hall '-P 2 2'
loop_
_atom_site_label
_atom_site_fract_x
_atom_site_fract_y
_atom_site_fract_z
Ta1 0.0000 0.0000 0.0000
Ta2 0.0000 0.5000 0.2586
Al1 0.0000 0.0000 0.5000
Tc1 0.5000 0.0000 0.2498
Tc2 0.5000 0.5000 0.0000
Tc3 0.5000 0.5000 0.5000
```

=====

TaAlTc2 after structural relaxation. Source: the Alexandria database, functional GGA-PBE.

Output
**DOS at the Fermi energy**: 2.35 states/eV/f.u.
**Calculated volume**: 15.58 A^3/atom
**Formation enthalpy at 0 K**: -187 meV/atom

The structure in CIF format:
```
data_TaAlTc2
_cell_length_a 2.9073
_cell_length_b 2.9073
_cell_length_c 7.3737
_cell_angle_alpha 90.00
_cell_angle_beta 90.00
_cell_angle_gamma 90.00
_symmetry_space_group_name_H-M 'P 4 m m'
_symmetry_Int_Tables_number 99
_symmetry_space_group_name_Hall 'P 4 -2'
loop_
_atom_site_label
_atom_site_fract_x
_atom_site_fract_y
_atom_site_fract_z
Ta1 0.0000 0.0000 0.0000
Al1 0.5000 0.5000 0.7290
Tc1 0.0000 0.0000 0.4984
Tc2 0.5000 0.5000 0.2870
```

=====

TaAlTc2 after structural relaxation. Source: the Alexandria database, functional GGA-PBE.

Output
**DOS at the Fermi energy**: 2.85 states/eV/f.u.
**Calculated volume**: 15.48 A^3/atom
**Formation enthalpy at 0 K**: -184 meV/atom

The structure in CIF format:
```
data_TaAlTc2
_cell_length_a 2.8639
_cell_length_b 4.0875
_cell_length_c 5.2910
_cell_angle_alpha 90.00
_cell_angle_beta 90.00
_cell_angle_gamma 90.00
_symmetry_space_group_name_H-M 'P m m 2'
_symmetry_Int_Tables_number 25
_symmetry_space_group_name_Hall 'P 2 -2'
loop_
_atom_site_label
_atom_site_fract_x
_atom_site_fract_y
_atom_site_fract_z
Ta1 0.0000 0.0000 0.0000
Al1 0.5000 0.5000 0.7341
Tc1 0.0000 0.0000 0.4996
Tc2 0.5000 0.5000 0.2489
```

=====

Ta5AlTc6 after structural relaxation. Source: the Alexandria database, functional GGA-PBE.

Output
**DOS at the Fermi energy**: 9.32 states/eV/f.u.
**Calculated volume**: 15.90 A^3/atom
**Formation enthalpy at 0 K**: -473 meV/atom

The structure in CIF format:
```
data_Ta5AlTc6
_cell_length_a 4.4720
_cell_length_b 6.3466
_cell_length_c 13.4412
_cell_angle_alpha 90.00
_cell_angle_beta 90.00
_cell_angle_gamma 90.00
_symmetry_space_group_name_H-M 'I m m m'
_symmetry_Int_Tables_number 71
_symmetry_space_group_name_Hall '-I 2 2'
loop_
_atom_site_label
_atom_site_fract_x
_atom_site_fract_y
_atom_site_fract_z
Ta1 0.0000 0.0000 0.0000
Ta2 0.0000 0.0000 0.3389
Ta3 0.0000 0.5000 0.3324
Al1 0.0000 0.5000 0.0000
Tc1 0.0000 0.2493 0.1675
Tc2 0.0000 0.2527 0.5000
```

=====

TaAlTc2 after structural relaxation. Source: the Alexandria database, functional GGA-PBE.

Output
**DOS at the Fermi energy**: 3.21 states/eV/f.u.
**Calculated volume**: 15.53 A^3/atom
**Formation enthalpy at 0 K**: -197 meV/atom

The structure in CIF format:
```
data_TaAlTc2
_cell_length_a 3.1780
_cell_length_b 4.6433
_cell_length_c 8.4194
_cell_angle_alpha 90.00
_cell_angle_beta 90.00
_cell_angle_gamma 90.00
_symmetry_space_group_name_H-M 'C m m m'
_symmetry_Int_Tables_number 65
_symmetry_space_group_name_Hall '-C 2 2'
loop_
_atom_site_label
_atom_site_fract_x
_atom_site_fract_y
_atom_site_fract_z
Ta1 0.0000 0.0000 0.0000
Al1 0.0000 0.0000 0.5000
Tc1 0.0000 0.5000 0.2557
```

=====

TaAlTc2 after structural relaxation. Source: the Alexandria database, functional GGA-PBE.

Output
**DOS at the Fermi energy**: 3.76 states/eV/f.u.
**Calculated volume**: 16.69 A^3/atom
**Formation enthalpy at 0 K**: 497 meV/atom

The structure in CIF format:
```
data_TaAlTc2
_cell_length_a 6.8532
_cell_length_b 6.8532
_cell_length_c 5.6858
_cell_angle_alpha 90.00
_cell_angle_beta 90.00
_cell_angle_gamma 90.00
_symmetry_space_group_name_H-M 'I -4 2 d'
_symmetry_Int_Tables_number 122
_symmetry_space_group_name_Hall 'I -4 2bw'
loop_
_atom_site_label
_atom_site_fract_x
_atom_site_fract_y
_atom_site_fract_z
Ta1 0.0000 0.0000 0.0000
Al1 0.0000 0.0000 0.5000
Tc1 0.2448 0.2500 0.6250
```

=====

TaAlTc2 after structural relaxation. Source: the Alexandria database, functional GGA-PBE.

Output
**DOS at the Fermi energy**: 2.81 states/eV/f.u.
**Calculated volume**: 15.48 A^3/atom
**Formation enthalpy at 0 K**: -232 meV/atom

The structure in CIF format:
```
data_TaAlTc2
_cell_length_a 3.1592
_cell_length_b 4.6353
_cell_length_c 8.4570
_cell_angle_alpha 90.00
_cell_angle_beta 90.00
_cell_angle_gamma 90.00
_symmetry_space_group_name_H-M 'I m m m'
_symmetry_Int_Tables_number 71
_symmetry_space_group_name_Hall '-I 2 2'
loop_
_atom_site_label
_atom_site_fract_x
_atom_site_fract_y
_atom_site_fract_z
Ta1 0.0000 0.0000 0.0000
Al1 0.0000 0.0000 0.5000
Tc1 0.0000 0.5000 0.2526
```